1.
Below is a relaxed structure of AlPSN2, with properties calculated at the PBE level.

Unit cell a=3.650 b=3.650 c=5.139 alpha=90.00 beta=90.00 gamma=90.00
Space group P4/mmm (No. 123)
One atom of each set of equivalent atoms:
Al: 0.000 0.000 0.000 x1
P: 0.500 0.500 0.500 x1
S: 0.000 0.000 0.500 x1
N: 0.000 0.500 0.000 x2

Computed properties:
* crystal system: tetragonal
* total moment: 0.6 μB/cell
* calculated total energy: -25.12 eV per cell
* ΔE to the lowest computed polymorph: 420.2 meV/atom
* raw formation energy: 962.7 meV/atom



2.
Below is a relaxed structure of AcPrZn, with properties calculated at the PBE level.

Unit cell a=5.2566 b=5.2566 c=4.0032 alpha=90.00 beta=90.00 gamma=120.00
Space group P3m1 (No. 156)
One atom of each set of equivalent atoms:
Ac: 0.0000 0.0000 0.0000 x1
Pr: 0.6667 0.3333 0.5525 x1
Zn: 0.3333 0.6667 0.3702 x1

Computed properties:
* crystal system: trigonal
* total moment: 0.0 μB/cell
* calculated total energy: -10.22 eV per cell
* ΔE to the lowest computed polymorph: 147.8 meV/atom
* E_form: -1.79 kJ/mol of atoms



3.
Below is a relaxed structure of Na2HfPaSb4, with properties calculated at the PBE level.

Unit cell a=7.517 b=4.287 c=7.941 alpha=90.00 beta=107.96 gamma=90.00
Space group P2/m (No. 10)
One atom of each set of equivalent atoms:
Na: 0.000 0.000 0.000 x1
Na: 0.500 0.500 0.000 x1
Hf: 0.000 0.500 0.500 x1
Pa: 0.500 0.000 0.500 x1
Sb: 0.227 0.000 0.716 x2
Sb: 0.245 0.500 0.276 x2

Computed properties:
* crystal system: monoclinic
* total moment: 0.0 μB/cell
* calculated total energy: -41.31 eV per cell
* raw formation energy: -342.1 meV/atom



4.
Below is a relaxed structure of V2ReMo2, with properties calculated at the PBE level.

Unit cell a=4.3429 b=4.3429 c=13.4351 alpha=90.00 beta=90.00 gamma=120.00
Space group R-3m (No. 166, hexagonal axes)
One atom of each set of equivalent atoms:
V: 0.0000 0.0000 0.1014 x6
Re: 0.0000 0.0000 0.5000 x3
Mo: 0.0000 0.0000 0.2995 x6

Computed properties:
* crystal system: trigonal
* total moment: 0.0 μB/cell
* calculated total energy: -160.37 eV per cell
* E_form: -21.40 kJ/mol of atoms



5.
Below is a relaxed structure of K2Ge2Te5, with properties calculated at the PBE level.

Unit cell a=23.843 b=8.808 c=6.745 alpha=90.00 beta=106.00 gamma=90.00
Space group Cc (No. 9)
One atom of each set of equivalent atoms:
K: 0.000 0.222 0.000 x4
K: 0.217 0.275 0.213 x4
Ge: 0.150 0.255 0.637 x4
Ge: 0.358 0.151 0.760 x4
Te: 0.107 0.498 0.843 x4
Te: 0.120 0.001 0.857 x4
Te: 0.266 0.325 0.774 x4
Te: 0.356 0.137 0.365 x4
Te: 0.445 0.307 0.947 x4

Computed properties:
* crystal system: monoclinic
* total moment: 0.0 μB/cell
* calculated total energy: -122.16 eV per cell
* ΔE to the lowest computed polymorph: 12.3 meV/atom
* raw formation energy: -377.9 meV/atom



6.
Below is a relaxed structure of Dy6HoEr5, with properties calculated at the PBE level.

Unit cell a=4.974 b=9.942 c=7.863 alpha=90.00 beta=108.38 gamma=90.00
Space group P2/m (No. 10)
One atom of each set of equivalent atoms:
Dy: 0.000 0.250 0.000 x2
Dy: 0.333 0.250 0.667 x4
Ho: 0.500 0.000 0.000 x1
Er: 0.167 0.000 0.334 x2
Er: 0.167 0.500 0.333 x2
Er: 0.500 0.500 0.000 x1

Computed properties:
* crystal system: monoclinic
* total moment: 0.0 μB/cell
* calculated total energy: -54.77 eV per cell
* E_form: 1.92 kJ/mol of atoms



7.
Below is a relaxed structure of Tl2GeAu2, with properties calculated at the PBE level.

Unit cell a=12.867 b=4.201 c=10.898 alpha=90.00 beta=121.04 gamma=90.00
Space group C2/m (No. 12)
One atom of each set of equivalent atoms:
Tl: 0.041 0.000 0.206 x4
Tl: 0.186 0.000 0.581 x4
Ge: 0.242 0.500 0.895 x4
Au: 0.053 0.500 0.647 x4
Au: 0.119 0.500 0.032 x4

Computed properties:
* crystal system: monoclinic
* total moment: 0.0 μB/cell
* calculated total energy: -64.07 eV per cell
* ΔE to the lowest computed polymorph: 0.0 meV/atom
* E_form: -2.20 kJ/mol of atoms



8.
Below is a relaxed structure of Pr2NdY2Tm2, with properties calculated at the PBE level.

Unit cell a=11.810 b=3.539 c=11.906 alpha=90.00 beta=108.64 gamma=90.00
Space group C2/m (No. 12)
One atom of each set of equivalent atoms:
Pr: 0.172 0.000 0.085 x4
Nd: 0.000 0.500 0.500 x2
Y: 0.048 0.000 0.771 x4
Tm: 0.227 0.500 0.365 x4

Computed properties:
* crystal system: monoclinic
* total moment: 0.0 μB/cell
* calculated total energy: -71.20 eV per cell
* E_form: 8.27 kJ/mol of atoms



9.
Below is a relaxed structure of KTbFe2I8, with properties calculated at the PBE level.

Unit cell a=12.273 b=8.475 c=10.387 alpha=90.00 beta=93.15 gamma=90.00
Space group C2/m (No. 12)
One atom of each set of equivalent atoms:
K: 0.000 0.000 0.000 x2
Tb: 0.000 0.000 0.500 x2
Fe: 0.130 0.500 0.280 x4
I: 0.007 0.252 0.713 x8
I: 0.212 0.500 0.061 x4
I: 0.248 0.000 0.504 x4

Computed properties:
* crystal system: monoclinic
* total moment: 16.0 μB/cell
* calculated total energy: -87.08 eV per cell
* raw formation energy: -707.2 meV/atom



10.
Below is a relaxed structure of SrTl2Sb, with properties calculated at the PBE level.

Unit cell a=9.060 b=9.060 c=6.626 alpha=90.00 beta=90.00 gamma=90.00
Space group I-42d (No. 122)
One atom of each set of equivalent atoms:
Sr: 0.000 0.000 0.000 x4
Tl: 0.217 0.250 0.625 x8
Sb: 0.000 0.000 0.500 x4

Computed properties:
* crystal system: tetragonal
* total moment: 0.0 μB/cell
* calculated total energy: -47.50 eV per cell
* ΔE to the lowest computed polymorph: 107.1 meV/atom
* raw formation energy: -334.7 meV/atom



11.
Below is a relaxed structure of Na2CaO, with properties calculated at the PBE level.

Unit cell a=7.041 b=7.041 c=9.963 alpha=90.00 beta=90.00 gamma=90.00
Space group I-42d (No. 122)
One atom of each set of equivalent atoms:
Na: 0.003 0.750 0.125 x8
Ca: 0.000 0.000 0.500 x4
O: 0.000 0.000 0.000 x4

Computed properties:
* crystal system: tetragonal
* total moment: 0.0 μB/cell
* calculated total energy: -47.16 eV per cell
* raw formation energy: -548.2 meV/atom



12.
Below is a relaxed structure of BaSb2, with properties calculated at the PBE level.

Unit cell a=7.923 b=7.923 c=7.923 alpha=90.00 beta=90.00 gamma=90.00
Space group Fm-3m (No. 225)
One atom of each set of equivalent atoms:
Ba: 0.000 0.000 0.000 x4
Sb: 0.250 0.250 0.250 x8

Computed properties:
* crystal system: cubic
* total moment: 0.0 μB/cell
* calculated total energy: -42.04 eV per cell
* raw formation energy: -113.9 meV/atom



13.
Below is a relaxed structure of YCl, with properties calculated at the PBE level.

Unit cell a=10.6107 b=10.6107 c=3.6075 alpha=90.00 beta=90.00 gamma=120.00
Space group P6_3/m (No. 176)
One atom of each set of equivalent atoms:
Y: 0.1308 0.6348 0.2500 x6
Cl: 0.0565 0.3337 0.2500 x6

Computed properties:
* crystal system: hexagonal
* total moment: 3.1 μB/cell
* calculated total energy: -64.47 eV per cell
* raw formation energy: -1217.5 meV/atom



14.
Below is a relaxed structure of CsMnCrSe3, with properties calculated at the PBE level.

Unit cell a=9.110 b=3.992 c=10.321 alpha=90.00 beta=114.31 gamma=90.00
Space group P2_1/m (No. 11)
One atom of each set of equivalent atoms:
Cs: 0.234 0.250 0.253 x2
Mn: 0.083 0.250 0.617 x2
Cr: 0.337 0.750 0.868 x2
Se: 0.145 0.250 0.870 x2
Se: 0.223 0.750 0.565 x2
Se: 0.483 0.750 0.132 x2

Computed properties:
* crystal system: monoclinic
* total moment: 15.9 μB/cell
* calculated total energy: -68.36 eV per cell
* raw formation energy: -679.8 meV/atom



15.
Below is a relaxed structure of PmPr2In, with properties calculated at the PBE level.

Unit cell a=3.683 b=3.683 c=9.631 alpha=90.00 beta=90.00 gamma=90.00
Space group P4/mmm (No. 123)
One atom of each set of equivalent atoms:
Pm: 0.000 0.000 0.000 x1
Pr: 0.500 0.500 0.275 x2
In: 0.000 0.000 0.500 x1

Computed properties:
* crystal system: tetragonal
* total moment: 0.0 μB/cell
* calculated total energy: -17.91 eV per cell
* ΔE to the lowest computed polymorph: 57.9 meV/atom
* E_form: -20.88 kJ/mol of atoms



16.
Below is a relaxed structure of CoCu2P3, with properties calculated at the PBE level.

Unit cell a=4.276 b=10.251 c=3.803 alpha=90.00 beta=90.00 gamma=90.00
Space group Pmmn (No. 59, origin choice 2)
One atom of each set of equivalent atoms:
Co: 0.250 0.250 0.156 x2
Cu: 0.250 0.609 0.602 x4
P: 0.250 0.118 0.658 x4
P: 0.250 0.750 0.090 x2

Computed properties:
* crystal system: orthorhombic
* total moment: 0.0 μB/cell
* calculated total energy: -63.43 eV per cell
* E_form: -2.99 kJ/mol of atoms



17.
Below is a relaxed structure of Hf3ZnGa4, with properties calculated at the PBE level.

Unit cell a=2.910 b=8.783 c=11.604 alpha=90.00 beta=90.00 gamma=90.00
Space group Immm (No. 71)
One atom of each set of equivalent atoms:
Hf: 0.000 0.000 0.000 x2
Hf: 0.000 0.500 0.227 x4
Zn: 0.000 0.000 0.500 x2
Ga: 0.000 0.253 0.382 x8

Computed properties:
* crystal system: orthorhombic
* total moment: 0.0 μB/cell
* calculated total energy: -89.89 eV per cell
* ΔE to the lowest computed polymorph: 135.6 meV/atom
* E_form: -20.53 kJ/mol of atoms



18.
Below is a relaxed structure of Ba2TiBiSe, with properties calculated at the PBE level.

Unit cell a=6.293 b=6.293 c=5.144 alpha=90.00 beta=90.00 gamma=90.00
Space group P4/mmm (No. 123)
One atom of each set of equivalent atoms:
Ba: 0.000 0.500 0.000 x2
Ti: 0.000 0.000 0.000 x1
Bi: 0.000 0.000 0.500 x1
Se: 0.500 0.500 0.500 x1

Computed properties:
* crystal system: tetragonal
* total moment: 2.9 μB/cell
* calculated total energy: -19.98 eV per cell
* raw formation energy: -174.8 meV/atom



19.
Below is a relaxed structure of Pm2SmGaN, with properties calculated at the PBE level.

Unit cell a=4.927 b=4.927 c=4.896 alpha=90.00 beta=90.00 gamma=90.00
Space group P4/mmm (No. 123)
One atom of each set of equivalent atoms:
Pm: 0.000 0.500 0.000 x2
Sm: 0.000 0.000 0.500 x1
Ga: 0.500 0.500 0.500 x1
N: 0.000 0.000 0.000 x1

Computed properties:
* crystal system: tetragonal
* total moment: 0.0 μB/cell
* calculated total energy: -29.86 eV per cell
* raw formation energy: -857.1 meV/atom



20.
Below is a relaxed structure of Cr2TcBr, with properties calculated at the PBE level.

Unit cell a=3.003 b=3.003 c=6.995 alpha=90.00 beta=90.00 gamma=90.00
Space group P4mm (No. 99)
One atom of each set of equivalent atoms:
Cr: 0.000 0.000 0.000 x1
Cr: 0.500 0.500 0.220 x1
Tc: 0.000 0.000 0.415 x1
Br: 0.500 0.500 0.722 x1

Computed properties:
* crystal system: tetragonal
* total moment: 2.3 μB/cell
* calculated total energy: -29.32 eV per cell
* ΔE to the lowest computed polymorph: 0.0 meV/atom
* raw formation energy: 491.9 meV/atom